Computed, not measured: CrNi2Mo after structural relaxation at the PBE level of DFT.

The calculated formation energy is 526 meV per atom. For the total energy, the calculation gives -7.48 eV per atom. The value obtained for the density of states at the Fermi level is 6.4 states/eV/f.u.

It has space group I-42d (No. 122), with a = 6.5628 Å, b = 6.5628 Å, c = 4.8653 Å, α = 90.00°, β = 90.00° and γ = 90.00°. Symmetry generates all atoms from Cr at (0.0000, 0.0000, 0.0000), Ni at (0.2311, 0.7500, 0.1250) and Mo at (0.0000, 0.0000, 0.5000).